The following is a PBE-GGA calculation of ZnCr2Hg after structural relaxation, from Alexandria via LeMat-Bulk.

Properties
The excess energy over the best structure of this formula in the dataset comes out at 0.119 eV/atom. As for the space group: R3m, No. 160. As for the volume: 63.3 Å³ per cell. For the final energy, the calculation gives -4.8367 eV per atom. The value obtained for the energy of formation from the pure elements is 0.3690 eV per atom.

Lattice parameters (Å, degrees): 9.0100 9.0100 9.0100 18.34 18.34 18.34
With the nearest neighbours (Å) after each atom.
Atoms (fractional coordinates):
Cr 0.9897 0.9897 0.9897  3 Cr 2.24
Cr 0.2664 0.2664 0.2664  3 Cr 2.24
Hg 0.5060 0.5060 0.5060  6 Hg 2.87, 3 Cr 2.99, 3 Zn 3.17
Zn 0.7379 0.7379 0.7379  3 Cr 2.73, 6 Zn 2.87